Compound: PdBrCl2
Source: Alexandria via LeMat-Bulk
Functional: GGA-PBE
Structure: optimized geometry

a b c (Å): 6.2958 6.2958 6.9904
angles (deg): 108.05 108.05 114.39
Last column: nearest neighbours and their distance in Å.
Element x y z (fractional)
Cl (0.6782, 0.0536, 0.2255)  2 Pd 2.37-2.45
Cl (0.0536, 0.6782, 0.7255)  2 Pd 2.37-2.45
Cl (0.2768, 0.2295, 0.6278)  2 Pd 2.43-2.53
Cl (0.2295, 0.2768, 0.1278)  2 Pd 2.43-2.53
Pd (0.1208, 0.4459, 0.4198)  4 Cl 2.37-2.53, 2 Br 2.46-2.64
Pd (0.4459, 0.1208, 0.9198)  4 Cl 2.37-2.53, 2 Br 2.46-2.64
Br (0.8721, 0.5709, 0.1407)  2 Pd 2.46-2.64
Br (0.5709, 0.8721, 0.6407)  2 Pd 2.46-2.64

Computed properties:
N(E_F) = 0.673 states/eV/atom
space group = Cc (9)
raw formation energy = -1.2 eV/f.u.
crystal system = monoclinic
magnetic moment = 0.000 Bohr magnetons per cell